DFT (PBE) results for an optimized crystal structure of Pa2SbPb.

a b c (Å): 3.6306 3.6306 8.1451
angles (deg): 90.00 90.00 90.00
Element x y z (fractional)
Pa 0.0000 0.0000 0.2311
Pa 0.0000 0.0000 0.7689
Sb 0.5000 0.5000 0.0000
Pb 0.5000 0.5000 0.5000

ΔE_f (raw), eV per atom: -0.13
Crystal system: tetragonal

DFT (PBE) results for an optimized crystal structure of CaCu2As.

a b c (Å): 4.0604 4.0416 4.8137
angles (deg): 90.00 94.36 90.00
Element x y z (fractional)
Ca 0.0000 0.0000 0.0000
Cu 0.0621 0.5000 0.4998
Cu 0.4872 0.0000 0.4977
As 0.5370 0.5000 0.2283

Crystal system: monoclinic
Energy of formation from the pure elements, eV per atom: -0.239

DFT (PBE) results for an optimized crystal structure of Ba2Mg3.

a b c (Å): 5.1415 5.1415 9.2604
angles (deg): 90.00 90.00 120.00
Element x y z (fractional)
Ba 0.3333 0.6667 0.1883
Ba 0.6667 0.3333 0.8117
Mg 0.0000 0.0000 0.5000
Mg 0.3333 0.6667 0.5771
Mg 0.6667 0.3333 0.4229

Crystal system: trigonal
Energy of formation from the pure elements, eV per atom: 0.023

DFT (PBE) results for an optimized crystal structure of Ag3ClF2.

a b c (Å): 5.2058 10.6692 3.8264
angles (deg): 90.00 90.00 90.00
Element x y z (fractional)
Ag 0.2500 0.0552 0.2062
Ag 0.2500 0.4448 0.2062
Ag 0.2500 0.7500 0.1699
Ag 0.7500 0.2500 0.8301
Ag 0.7500 0.5552 0.7938
Ag 0.7500 0.9448 0.7938
Cl 0.2500 0.2500 0.8018
Cl 0.7500 0.7500 0.1982
F 0.2500 0.5867 0.6662
F 0.2500 0.9133 0.6662
F 0.7500 0.0867 0.3338
F 0.7500 0.4133 0.3338

ΔE_f (raw), eV per atom: -0.79
Crystal system: orthorhombic

DFT (PBE) results for an optimized crystal structure of Ce3DyHf2P6.

a b c (Å): 6.7989 6.7989 6.8140
angles (deg): 99.59 99.59 120.02
Element x y z (fractional)
Ce 0.0000 0.0000 0.0000
Ce 0.3367 0.6633 0.0000
Ce 0.6633 0.3367 0.0000
Dy 0.5000 0.5000 0.5000
Hf 0.1676 0.8324 0.5000
Hf 0.8324 0.1676 0.5000
P 0.0782 0.4220 0.2667
P 0.2323 0.2323 0.7295
P 0.4220 0.0782 0.2667
P 0.5780 0.9218 0.7333
P 0.7677 0.7677 0.2705
P 0.9218 0.5780 0.7333

Crystal system: monoclinic
Energy of formation from the pure elements, eV per atom: -1.463

DFT (PBE) results for an optimized crystal structure of TbPm6Y12.

a b c (Å): 8.7893 8.7893 8.7893
angles (deg): 99.09 99.09 99.09
Element x y z (fractional)
Tb 0.0000 0.0000 0.0000
Pm 0.0973 0.0973 0.6581
Pm 0.0973 0.6581 0.0973
Pm 0.3419 0.9027 0.9027
Pm 0.6581 0.0973 0.0973
Pm 0.9027 0.3419 0.9027
Pm 0.9027 0.9027 0.3419
Y 0.0815 0.3530 0.3530
Y 0.2417 0.5000 0.7583
Y 0.2417 0.7583 0.5000
Y 0.3530 0.0815 0.3530
Y 0.3530 0.3530 0.0815
Y 0.5000 0.2417 0.7583
Y 0.5000 0.7583 0.2417
Y 0.6470 0.6470 0.9185
Y 0.6470 0.9185 0.6470
Y 0.7583 0.2417 0.5000
Y 0.7583 0.5000 0.2417
Y 0.9185 0.6470 0.6470

Crystal system: trigonal
Energy of formation from the pure elements, eV per atom: 0.206

Question: What is the formula in the first record?
Answer: Pa2SbPb